Cs2TbVS4 | PBE | relaxed

abc: 6.3784 7.9870 13.2698
angles: 84.49 76.09 66.47
Last column: nearest neighbours and their distance in Å.
Fractional coordinates of all 16 atoms:
Cs: 0.1793 0.0000 0.6414  8 S 3.78-4.14
Cs: 0.8207 0.0000 0.3586  8 S 3.78-4.14
Cs: 0.5707 0.5000 0.8586  8 S 3.78-4.14
Cs: 0.9293 0.5000 0.1414  8 S 3.78-4.14
Tb: 0.7500 0.5000 0.5000  4 S 2.60
Tb: 0.0000 0.0000 0.0000  4 S 2.60
V: 0.2500 0.5000 0.5000  4 S 2.31
V: 0.5000 0.0000 0.0000  4 S 2.31
S: 0.3314 0.8111 0.0962  1 V 2.31
S: 0.2387 0.1889 0.9038  1 V 2.31
S: 0.8576 0.8111 0.9038  1 V 2.31
S: 0.5724 0.1889 0.0962  1 V 2.31
S: 0.4186 0.6889 0.4038  1 V 2.31
S: 0.5113 0.3111 0.5962  1 V 2.31
S: 0.8924 0.6889 0.5962  1 V 2.31
S: 0.1776 0.3111 0.4038  1 V 2.31

Properties
magnetization	2.00	μB per formula unit
formation energy from raw total energies	-1255.1	meV/atom